This record from Alexandria describes an optimized crystal structure of Sc2TlCu2. The functional is PBE.

Geometry as POSCAR:
```
Sc2TlCu2
1.0
-1.6918 1.6918 8.6699
1.6918 -1.6918 8.6699
1.6918 1.6918 -8.6699
Sc Tl Cu
2 1 2
Direct
0.1198 0.1198 0.0000
0.8802 0.8802 0.0000
0.5000 0.5000 0.0000
0.2500 0.7500 0.5000
0.7500 0.2500 0.5000
```

Calculated values
As for the formation energy from the elements: -0.055 eV per atom. The symmetry is I4/mmm (139). For the uncorrected energy, the calculation gives -23.50 eV per cell.